<P>
An optimized crystal structure of DyTe3PbAu, computed with PBE-GGA.

Computed properties:
**Symmetry**: Pnma (62)
**Crystal system**: orthorhombic
**Magnetic moment**: 0.0 μB per formula unit

Lattice parameters (Å, degrees): 10.6885 4.5455 15.9818 90.00 90.00 90.00
Element x y z (fractional)
Te (0.7160, 0.7500, 0.7907)
Te (0.7840, 0.2500, 0.2907)
Te (0.6487, 0.2500, 0.0287)
Te (0.2160, 0.7500, 0.7093)
Te (0.2840, 0.2500, 0.2093)
Te (0.5203, 0.7500, 0.3689)
Te (0.0203, 0.7500, 0.1311)
Te (0.9797, 0.2500, 0.8689)
Te (0.8513, 0.7500, 0.5287)
Te (0.4797, 0.2500, 0.6311)
Te (0.3513, 0.7500, 0.9713)
Te (0.1487, 0.2500, 0.4713)
Dy (0.3265, 0.7500, 0.5327)
Dy (0.6735, 0.2500, 0.4673)
Dy (0.1735, 0.2500, 0.0327)
Dy (0.8265, 0.7500, 0.9673)
Pb (0.4626, 0.7500, 0.1600)
Pb (0.9626, 0.7500, 0.3400)
Pb (0.5374, 0.2500, 0.8400)
Pb (0.0374, 0.2500, 0.6600)
Au (0.8858, 0.2500, 0.0970)
Au (0.6142, 0.7500, 0.5970)
Au (0.3858, 0.2500, 0.4030)
Au (0.1142, 0.7500, 0.9030)



<Q>
An optimized crystal structure of DyTe3PbAu, computed with PBE-GGA.

Computed properties:
**Symmetry**: C2/m (12)
**Crystal system**: monoclinic
**Magnetic moment**: 0.0 μB per formula unit

Lattice parameters (Å, degrees): 10.1945 10.1945 8.8155 100.65 100.65 24.34
Element x y z (fractional)
Au (0.5532, 0.5532, 0.7131)
Au (0.4468, 0.4468, 0.2869)
Te (0.3115, 0.3115, 0.1516)
Te (0.5000, 0.5000, 0.0000)
Te (0.3208, 0.3208, 0.6455)
Te (0.6792, 0.6792, 0.3545)
Te (0.6885, 0.6885, 0.8484)
Te (0.0000, 0.0000, 0.5000)
Dy (0.1590, 0.1590, 0.5910)
Dy (0.8410, 0.8410, 0.4090)
Pb (0.1234, 0.1234, 0.0767)
Pb (0.8766, 0.8766, 0.9233)



Which structure is the most stable? The one labeled <P>.



<P>
An optimized crystal structure of Pr2DyZn2Si4Au2, computed with PBE-GGA.

Computed properties:
**Symmetry**: Immm (71)
**Crystal system**: orthorhombic
**Magnetic moment**: 0.0 μB per formula unit

Lattice parameters (Å, degrees): 12.8895 12.8895 12.8895 161.46 160.90 26.74
Element x y z (fractional)
Dy (0.0000, 0.0000, 0.0000)
Au (0.0933, 0.5933, 0.5000)
Au (0.9067, 0.4067, 0.5000)
Pr (0.6469, 0.1469, 0.5000)
Pr (0.3531, 0.8531, 0.5000)
Zn (0.2505, 0.2505, 0.0000)
Zn (0.7495, 0.7495, 0.0000)
Si (0.1923, 0.6923, 0.5000)
Si (0.5465, 0.5465, 0.0000)
Si (0.8077, 0.3077, 0.5000)
Si (0.4535, 0.4535, 0.0000)



<Q>
An optimized crystal structure of Pr2DyZn2Si4Au2, computed with PBE-GGA.

Computed properties:
**Symmetry**: Immm (71)
**Crystal system**: orthorhombic
**Magnetic moment**: 0.0 μB per formula unit

Lattice parameters (Å, degrees): 12.7345 12.7345 12.7345 160.90 160.87 27.16
Element x y z (fractional)
Zn (0.0930, 0.5930, 0.5000)
Zn (0.9070, 0.4070, 0.5000)
Pr (0.3560, 0.8560, 0.5000)
Pr (0.6440, 0.1440, 0.5000)
Si (0.1899, 0.6899, 0.5000)
Si (0.4530, 0.4530, 0.0000)
Si (0.5470, 0.5470, 0.0000)
Si (0.8101, 0.3101, 0.5000)
Au (0.7490, 0.7490, 0.0000)
Au (0.2510, 0.2510, 0.0000)
Dy (0.0000, 0.0000, 0.0000)



Which structure is the most stable? The one labeled <P>.



<P>
An optimized crystal structure of SmDy2Zn2Si4Au2, computed with PBE-GGA.

Computed properties:
**Symmetry**: Immm (71)
**Crystal system**: orthorhombic
**Magnetic moment**: 0.0 μB per formula unit

Lattice parameters (Å, degrees): 12.9073 12.9073 12.9073 161.88 161.25 26.19
Element x y z (fractional)
Dy (0.6464, 0.1464, 0.5000)
Dy (0.3536, 0.8536, 0.5000)
Au (0.0960, 0.5960, 0.5000)
Au (0.9040, 0.4040, 0.5000)
Si (0.4530, 0.4530, 0.0000)
Si (0.8081, 0.3081, 0.5000)
Si (0.5470, 0.5470, 0.0000)
Si (0.1919, 0.6919, 0.5000)
Zn (0.2510, 0.2510, 0.0000)
Zn (0.7490, 0.7490, 0.0000)
Sm (0.0000, 0.0000, 0.0000)



<Q>
An optimized crystal structure of SmDy2Zn2Si4Au2, computed with PBE-GGA.

Computed properties:
**Symmetry**: Immm (71)
**Crystal system**: orthorhombic
**Magnetic moment**: 0.0 μB per formula unit

Lattice parameters (Å, degrees): 12.6584 12.6584 12.6584 161.13 160.99 26.91
Element x y z (fractional)
Au (0.7482, 0.7482, 0.0000)
Au (0.2518, 0.2518, 0.0000)
Si (0.5479, 0.5479, 0.0000)
Si (0.4521, 0.4521, 0.0000)
Si (0.8111, 0.3111, 0.5000)
Si (0.1889, 0.6889, 0.5000)
Dy (0.6448, 0.1448, 0.5000)
Dy (0.3552, 0.8552, 0.5000)
Sm (0.0000, 0.0000, 0.0000)
Zn (0.9058, 0.4058, 0.5000)
Zn (0.0942, 0.5942, 0.5000)



Which structure is the most stable? The one labeled <P>.



<P>
An optimized crystal structure of TbDy2Zn2Si4Au2, computed with PBE-GGA.

Computed properties:
**Symmetry**: Immm (71)
**Crystal system**: orthorhombic
**Magnetic moment**: 0.0 μB per formula unit

Lattice parameters (Å, degrees): 12.8642 12.8642 12.8642 161.96 161.20 26.17
Element x y z (fractional)
Si (0.1915, 0.6915, 0.5000)
Si (0.8085, 0.3085, 0.5000)
Si (0.4533, 0.4533, 0.0000)
Si (0.5467, 0.5467, 0.0000)
Tb (0.0000, 0.0000, 0.0000)
Dy (0.6463, 0.1463, 0.5000)
Dy (0.3537, 0.8537, 0.5000)
Zn (0.2512, 0.2512, 0.0000)
Zn (0.7488, 0.7488, 0.0000)
Au (0.0952, 0.5952, 0.5000)
Au (0.9048, 0.4048, 0.5000)



<Q>
An optimized crystal structure of TbDy2Zn2Si4Au2, computed with PBE-GGA.

Computed properties:
**Symmetry**: Immm (71)
**Crystal system**: orthorhombic
**Magnetic moment**: 0.0 μB per formula unit

Lattice parameters (Å, degrees): 12.6423 12.6423 12.6423 161.23 161.01 26.82
Element x y z (fractional)
Zn (0.0935, 0.5935, 0.5000)
Zn (0.9065, 0.4065, 0.5000)
Dy (0.6442, 0.1442, 0.5000)
Dy (0.3558, 0.8558, 0.5000)
Si (0.5476, 0.5476, 0.0000)
Si (0.1884, 0.6884, 0.5000)
Si (0.8116, 0.3116, 0.5000)
Si (0.4524, 0.4524, 0.0000)
Au (0.2518, 0.2518, 0.0000)
Au (0.7482, 0.7482, 0.0000)
Tb (0.0000, 0.0000, 0.0000)



Which structure is the most stable? The one labeled <P>.